Compound: Tl2AgPbCl6
Source: the Alexandria database
Functional: PBE
Structure: optimized geometry

Summary:
The raw formation energy comes out at -0.87 eV/atom.

Cell lengths 7.344, 7.663, 10.583 Å; angles 90.00, 90.29, 90.00 degrees
Fractional coordinates of all 20 atoms:
Ag 0.000 0.500 0.000
Ag 0.500 0.000 0.500
Cl 0.197 0.211 0.042
Cl 0.419 0.983 0.743
Cl 0.581 0.017 0.257
Cl 0.208 0.200 0.461
Cl 0.792 0.800 0.539
Cl 0.081 0.483 0.757
Cl 0.697 0.289 0.542
Cl 0.919 0.517 0.243
Cl 0.803 0.789 0.958
Cl 0.708 0.300 0.961
Cl 0.303 0.711 0.458
Cl 0.292 0.700 0.039
Tl 0.520 0.566 0.750
Tl 0.020 0.934 0.250
Tl 0.980 0.066 0.750
Tl 0.480 0.434 0.250
Pb 0.500 0.000 0.000
Pb 0.000 0.500 0.500

Compound: TlAgPbCl5
Source: the Alexandria database
Functional: PBE
Structure: optimized geometry

Summary:
The raw formation energy comes out at -0.79 eV/atom.

Cell lengths 7.698, 7.698, 10.442 Å; angles 100.90, 100.90, 113.94 degrees
Fractional coordinates of all 16 atoms:
Cl 0.280 0.872 0.592
Cl 0.872 0.280 0.092
Cl 0.615 0.698 0.929
Cl 0.698 0.615 0.429
Cl 0.076 0.924 0.250
Cl 0.924 0.076 0.750
Cl 0.302 0.385 0.571
Cl 0.128 0.720 0.908
Cl 0.720 0.128 0.408
Cl 0.385 0.302 0.071
Ag 0.671 0.329 0.250
Ag 0.329 0.671 0.750
Pb 0.000 0.000 0.000
Pb 0.000 0.000 0.500
Tl 0.671 0.329 0.750
Tl 0.329 0.671 0.250

Compound: Tl2Ag2PbCl6
Source: the Alexandria database
Functional: PBE
Structure: optimized geometry

Summary:
The raw formation energy comes out at -0.83 eV/atom.

Cell lengths 7.742, 7.917, 7.608 Å; angles 115.56, 90.00, 119.27 degrees
Fractional coordinates of all 11 atoms:
Pb 0.500 0.000 0.500
Cl 0.176 0.861 0.178
Cl 0.271 0.543 0.410
Cl 0.824 0.139 0.822
Cl 0.685 0.861 0.178
Cl 0.729 0.457 0.590
Cl 0.315 0.139 0.822
Ag 0.066 0.132 0.223
Ag 0.934 0.868 0.777
Tl 0.261 0.522 0.822
Tl 0.739 0.478 0.178